1.
The following is a GGA-PBE calculation of crystalline AlSi2Br at its relaxed geometry, from the Alexandria database.

Lattice parameters (Å, degrees): 3.6013 5.3520 8.8568 90.00 90.00 90.00
Last column: nearest neighbours and their distance in Å.
Space group Cmm2 (No. 35)
Unique sites:
Al 0.0000 0.0000 0.0000 (multiplicity 2)  2 Br 2.59, 2 Si 2.62
Si 0.0000 0.0000 0.3964 (multiplicity 2)  2 Si 2.41
Si 0.0000 0.5000 0.2149 (multiplicity 2)  2 Si 2.41, 2 Al 2.62
Br 0.0000 0.5000 0.7905 (multiplicity 2)  2 Al 2.59

Values from the calculation:
E: -30.2 eV per cell

=====

2.
The following is a GGA-PBE calculation of crystalline AlSi2Br at its relaxed geometry, from the Alexandria database.

Lattice parameters (Å, degrees): 3.9686 5.1910 9.3453 90.00 90.00 90.00
Last column: nearest neighbours and their distance in Å.
Space group Imm2 (No. 44)
Unique sites:
Al 0.0000 0.0000 0.0000 (multiplicity 2)  3 Si 2.56-2.70, 2 Br 2.81
Si 0.0000 0.0000 0.7266 (multiplicity 2)  2 Si 2.42, 1 Al 2.56, 2 Br 2.60
Si 0.0000 0.5000 0.0789 (multiplicity 2)  2 Si 2.42, 2 Al 2.70
Br 0.0000 0.5000 0.7123 (multiplicity 2)  2 Si 2.60, 2 Al 2.81

Values from the calculation:
E: -31.0 eV per cell

=====

3.
The following is a GGA-PBE calculation of crystalline AlSi2Br at its relaxed geometry, from the Alexandria database.

Lattice parameters (Å, degrees): 6.7194 6.7194 6.7194 90.00 90.00 90.00
Last column: nearest neighbours and their distance in Å.
Space group Fm-3m (No. 225)
Unique sites:
Al 0.0000 0.0000 0.0000 (multiplicity 4)  8 Si 2.91
Si 0.2500 0.2500 0.2500 (multiplicity 8)  4 Br 2.91, 4 Al 2.91
Br 0.0000 0.0000 0.5000 (multiplicity 4)  8 Si 2.91

Values from the calculation:
E: -54.1 eV per cell

=====

4.
The following is a GGA-PBE calculation of crystalline Al4SiBr at its relaxed geometry, from the Alexandria database.

Lattice parameters (Å, degrees): 7.8024 7.8024 7.8024 90.00 90.00 90.00
Last column: nearest neighbours and their distance in Å.
Space group F-43m (No. 216)
Unique sites:
Al 0.1242 0.1242 0.3758 (multiplicity 16)  6 Al 2.74-2.78
Si 0.2500 0.2500 0.7500 (multiplicity 4)  12 Al 3.23, 4 Br 3.38
Br 0.0000 0.0000 0.0000 (multiplicity 4)  12 Al 3.24, 4 Si 3.38

Values from the calculation:
E: -79.1 eV per cell

=====

5.
The following is a GGA-PBE calculation of crystalline AlSi2Br at its relaxed geometry, from the Alexandria database.

Lattice parameters (Å, degrees): 3.1034 4.7034 10.5953 90.00 90.00 90.00
Last column: nearest neighbours and their distance in Å.
Space group Imm2 (No. 44)
Unique sites:
Al 0.0000 0.0000 0.0000 (multiplicity 2)  6 Si 2.86-2.96, 2 Al 3.10, 2 Br 3.17
Si 0.0000 0.0000 0.5849 (multiplicity 2)  2 Si 2.53
Si 0.0000 0.5000 0.2731 (multiplicity 2)  2 Si 2.53
Br 0.0000 0.5000 0.7994 (multiplicity 2)  4 Si 2.83, 2 Br 3.10, 2 Al 3.17

Values from the calculation:
E: -29.2 eV per cell

=====

6.
The following is a GGA-PBE calculation of crystalline AlSi2Br at its relaxed geometry, from the Alexandria database.

Lattice parameters (Å, degrees): 3.9407 3.9407 19.7609 90.00 90.00 120.00
Last column: nearest neighbours and their distance in Å.
Space group R-3m (No. 166, hexagonal axes)
Unique sites:
Al 0.0000 0.0000 0.0000 (multiplicity 3)  6 Si 2.55
Si 0.0000 0.0000 0.2754 (multiplicity 6)  3 Al 2.55
Br 0.0000 0.0000 0.5000 (multiplicity 3)  6 Si 3.13

Values from the calculation:
E: -44.0 eV per cell

=====

7.
The following is a GGA-PBE calculation of crystalline AlSi2Br at its relaxed geometry, from the Alexandria database.

Lattice parameters (Å, degrees): 6.9560 6.9661 3.0890 90.00 90.00 90.00
Last column: nearest neighbours and their distance in Å.
Space group Cmmm (No. 65)
Unique sites:
Al 0.0000 0.0000 0.0000 (multiplicity 2)  8 Si 2.91, 2 Al 3.09
Si 0.2500 0.2500 0.5000 (multiplicity 4)  4 Br 2.91, 4 Al 2.91, 2 Si 3.09
Br 0.0000 0.5000 0.0000 (multiplicity 2)  8 Si 2.91, 2 Br 3.09

Values from the calculation:
E: -27.9 eV per cell

=====

8.
The following is a GGA-PBE calculation of crystalline AlSi2Br at its relaxed geometry, from the Alexandria database.

Lattice parameters (Å, degrees): 3.0637 4.8506 4.9988 90.00 90.00 90.00
Last column: nearest neighbours and their distance in Å.
Space group Pmmm (No. 47)
Unique sites:
Al 0.0000 0.0000 0.0000 (multiplicity 1)  4 Si 2.87, 4 Br 2.93, 2 Al 3.06
Si 0.0000 0.5000 0.5000 (multiplicity 1)  4 Br 2.87, 6 Si 2.93-3.06
Si 0.5000 0.5000 0.0000 (multiplicity 1)  4 Al 2.87, 6 Si 2.93-3.06
Br 0.5000 0.0000 0.5000 (multiplicity 1)  4 Si 2.87, 4 Al 2.93, 2 Br 3.06

Values from the calculation:
E: -14.2 eV per cell

=====

9.
The following is a GGA-PBE calculation of crystalline AlSi2Br at its relaxed geometry, from the Alexandria database.

Lattice parameters (Å, degrees): 3.4465 3.4465 7.6169 90.00 90.00 90.00
Last column: nearest neighbours and their distance in Å.
Space group P4mm (No. 99)
Unique sites:
Al 0.0000 0.0000 0.0000 (multiplicity 1)  1 Si 2.48
Si 0.0000 0.0000 0.6750 (multiplicity 1)  4 Si 2.47, 1 Al 2.48
Si 0.5000 0.5000 0.7287 (multiplicity 1)  4 Si 2.47
Br 0.5000 0.5000 0.1929 (multiplicity 1)  4 Al 2.85

Values from the calculation:
E: -15.1 eV per cell

=====

10.
The following is a GGA-PBE calculation of crystalline AlSi2Br at its relaxed geometry, from the Alexandria database.

Lattice parameters (Å, degrees): 5.0303 7.9086 4.2046 90.00 90.00 90.00
Last column: nearest neighbours and their distance in Å.
Space group Cmmm (No. 65)
Unique sites:
Al 0.0000 0.0000 0.0000 (multiplicity 2)  2 Br 2.52, 4 Si 2.57
Si 0.0000 0.1874 0.5000 (multiplicity 4)  2 Al 2.57, 2 Si 2.70
Br 0.0000 0.5000 0.0000 (multiplicity 2)  2 Al 2.52

Values from the calculation:
E: -30.7 eV per cell

=====

11.
The following is a GGA-PBE calculation of crystalline AlSiBr at its relaxed geometry, from the Alexandria database.

Lattice parameters (Å, degrees): 3.4412 5.6402 14.4665 90.00 90.00 90.00
Last column: nearest neighbours and their distance in Å.
Space group Fmm2 (No. 42)
Unique sites:
Al 0.0000 0.0000 0.0000 (multiplicity 4)  2 Br 2.56, 2 Si 2.57
Si 0.0000 0.0000 0.3680 (multiplicity 4)  2 Al 2.57
Br 0.0000 0.0000 0.6312 (multiplicity 4)  2 Al 2.56

Values from the calculation:
E: -40.1 eV per cell

=====

12.
The following is a GGA-PBE calculation of crystalline AlSiBr at its relaxed geometry, from the Alexandria database.

Lattice parameters (Å, degrees): 6.6303 6.6303 6.6303 90.00 90.00 90.00
Last column: nearest neighbours and their distance in Å.
Space group F-43m (No. 216)
Unique sites:
Al 0.0000 0.0000 0.0000 (multiplicity 4)  4 Si 2.87
Si 0.2500 0.2500 0.7500 (multiplicity 4)  4 Br 2.87, 4 Al 2.87
Br 0.0000 0.0000 0.5000 (multiplicity 4)  4 Si 2.87

Values from the calculation:
E: -36.2 eV per cell

=====

| no. | raw formation energy (meV per atom) |
| --- | --- |
| 1 | 287.8 |
| 2 | 196.4 |
| 3 | 683.4 |
| 4 | 380.7 |
| 5 | 413.0 |
| 6 | 398.6 |
| 7 | 572.3 |
| 8 | 507.5 |
| 9 | 291.1 |
| 10 | 231.0 |
| 11 | 271.5 |
| 12 | 599.8 |